Entry 1:
Here is a relaxed NdH2Br4 crystal from the Alexandria database. Energies are from GGA-PBE.

```
data_NdH2Br4
_chemical_formula_sum 'Nd2 H4 Br8'
_cell_length_a 3.9548
_cell_length_b 15.5697
_cell_length_c 5.9648
_cell_angle_alpha 90.00
_cell_angle_beta 90.00
_cell_angle_gamma 90.00
_space_group_name_H-M_alt 'C m m m'
_space_group_IT_number 65
_space_group_name_Hall '-C 2 2'
loop_
_atom_site_label
_atom_site_fract_x
_atom_site_fract_y
_atom_site_fract_z
Nd1 0.0000 0.0000 0.0000
H1 0.0000 0.3957 0.5000
Br1 0.0000 0.1076 0.5000
Br2 0.0000 0.3672 0.0000
```

Entry 2:
# GGA-PBE HgB2F7, relaxed
data_HgB2F7
_chemical_formula_sum 'Hg2 B4 F14'
_cell_length_a 4.7864
_cell_length_b 23.0640
_cell_length_c 2.6696
_cell_angle_alpha 90.00
_cell_angle_beta 90.00
_cell_angle_gamma 90.00
_space_group_name_H-M_alt 'C m m m'
_space_group_IT_number 65
_space_group_name_Hall '-C 2 2'
loop_
_atom_site_label
_atom_site_fract_x
_atom_site_fract_y
_atom_site_fract_z
Hg1 0.0000 0.0000 0.0000
B1 0.0000 0.3363 0.5000
F1 0.0000 0.2957 0.0000
F2 0.0000 0.5000 0.5000
F3 0.2433 0.3632 0.5000
# - Formation energy (no corrections): -2205 meV per atom

Entry 3:
# GGA-PBE Tb3Ge4Au7, relaxed
data_Tb3Ge4Au7
_chemical_formula_sum 'Tb6 Ge8 Au14'
_cell_length_a 16.1707
_cell_length_b 4.4157
_cell_length_c 9.7601
_cell_angle_alpha 90.00
_cell_angle_beta 126.25
_cell_angle_gamma 90.00
_space_group_name_H-M_alt 'C 1 2/m 1'
_space_group_IT_number 12
loop_
_space_group_symop_operation_xyz
'x,y,z'
'-x,-y,-z'
'-x,y,-z'
'x,-y,z'
'x+1/2,y+1/2,z'
'-x+1/2,-y+1/2,-z'
'-x+1/2,y+1/2,-z'
'x+1/2,-y+1/2,z'
loop_
_atom_site_label
_atom_site_fract_x
_atom_site_fract_y
_atom_site_fract_z
Tb1 0.0000 0.0000 0.0000
Tb2 0.1906 0.5000 0.6902
Ge1 0.1263 0.0000 0.8464
Ge2 0.1627 0.5000 0.2807
Au1 0.0000 0.0000 0.5000
Au2 0.0068 0.5000 0.3091
Au3 0.1512 0.0000 0.4142
Au4 0.1733 0.5000 0.0312
# - Energy of formation from the pure elements: -13.03 kcal/mol of atoms

Entry 4:
# GGA-PBE TbPr2Sm6Er, relaxed
data_TbPr2Sm6Er
_chemical_formula_sum 'Tb4 Pr8 Sm24 Er4'
_cell_length_a 9.1623
_cell_length_b 15.2984
_cell_length_c 9.8409
_cell_angle_alpha 90.00
_cell_angle_beta 98.77
_cell_angle_gamma 90.00
_space_group_name_H-M_alt 'C 1 2/c 1'
_space_group_IT_number 15
loop_
_space_group_symop_operation_xyz
'x,y,z'
'-x,-y,-z'
'-x,y,-z+1/2'
'x,-y,z+1/2'
'x+1/2,y+1/2,z'
'-x+1/2,-y+1/2,-z'
'-x+1/2,y+1/2,-z+1/2'
'x+1/2,-y+1/2,z+1/2'
loop_
_atom_site_label
_atom_site_fract_x
_atom_site_fract_y
_atom_site_fract_z
Tb1 0.0000 0.0180 0.2500
Pr1 0.2459 0.0512 0.5417
Sm1 0.0639 0.1879 0.9438
Sm2 0.1029 0.3952 0.1197
Sm3 0.2032 0.2213 0.3108
Er1 0.0000 0.4075 0.7500
# - Energy of formation from the pure elements: 2.67 kcal/mol of atoms

Entry 5:
# GGA-PBE Pa2TiMnN6, relaxed
data_Pa2TiMnN6
_chemical_formula_sum 'Pa2 Ti1 Mn1 N6'
_cell_length_a 5.2690
_cell_length_b 5.2690
_cell_length_c 4.6115
_cell_angle_alpha 90.00
_cell_angle_beta 90.00
_cell_angle_gamma 90.00
_space_group_name_H-M_alt 'P 4 m m'
_space_group_IT_number 99
loop_
_space_group_symop_operation_xyz
'x,y,z'
'-y,x,z'
'-x,-y,z'
'y,-x,z'
'-x,y,z'
'y,x,z'
'x,-y,z'
'-y,-x,z'
loop_
_atom_site_label
_atom_site_fract_x
_atom_site_fract_y
_atom_site_fract_z
Pa1 0.0000 0.5000 0.0000
Ti1 0.0000 0.0000 0.5803
Mn1 0.5000 0.5000 0.5972
N1 0.0000 0.0000 0.1787
N2 0.2538 0.2538 0.7264
N3 0.5000 0.5000 0.2079
# - Formation energy (no corrections): -1067 meV per atom

Entry 6:
# GGA-PBE Li3Y3PdO8, relaxed
data_Li3Y3PdO8
_chemical_formula_sum 'Li9 Y9 Pd3 O24'
_cell_length_a 6.6432
_cell_length_b 6.6432
_cell_length_c 14.8846
_cell_angle_alpha 90.00
_cell_angle_beta 90.00
_cell_angle_gamma 120.00
_space_group_name_H-M_alt 'R -3 m'
_space_group_IT_number 166
_space_group_name_Hall '-R 3 2"'
loop_
_atom_site_label
_atom_site_fract_x
_atom_site_fract_y
_atom_site_fract_z
Li1 0.0000 0.5000 0.0000
Y1 0.0000 0.5000 0.5000
Pd1 0.0000 0.0000 0.5000
O1 0.0000 0.0000 0.2438
O2 0.0306 0.5153 0.2438
# - Formation energy (no corrections): -2352 meV per atom

Entry 7:
# GGA-PBE NbHg2Pb, relaxed
data_NbHg2Pb
_chemical_formula_sum 'Nb4 Hg8 Pb4'
_cell_length_a 8.1514
_cell_length_b 8.1514
_cell_length_c 5.8882
_cell_angle_alpha 90.00
_cell_angle_beta 90.00
_cell_angle_gamma 90.00
_space_group_name_H-M_alt 'I -4 2 d'
_space_group_IT_number 122
_space_group_name_Hall 'I -4 2bw'
loop_
_atom_site_label
_atom_site_fract_x
_atom_site_fract_y
_atom_site_fract_z
Nb1 0.0000 0.0000 0.0000
Hg1 0.2270 0.7500 0.1250
Pb1 0.0000 0.0000 0.5000
# - Energy of formation from the pure elements: 11.24 kcal/mol of atoms

Entry 8:
# GGA-PBE Y12Pd6Pb, relaxed
data_Y12Pd6Pb
_chemical_formula_sum 'Y24 Pd12 Pb2'
_cell_length_a 10.0204
_cell_length_b 10.0204
_cell_length_c 10.0204
_cell_angle_alpha 90.00
_cell_angle_beta 90.00
_cell_angle_gamma 90.00
_space_group_name_H-M_alt 'I m -3'
_space_group_IT_number 204
_space_group_name_Hall '-I 2 2 3'
loop_
_atom_site_label
_atom_site_fract_x
_atom_site_fract_y
_atom_site_fract_z
Y1 0.0000 0.1841 0.2985
Pd1 0.0000 0.3640 0.5000
Pb1 0.0000 0.0000 0.0000
# - Energy of formation from the pure elements: -14.66 kcal/mol of atoms

Entry 9:
# GGA-PBE BeNi2Os, relaxed
data_BeNi2Os
_chemical_formula_sum 'Be1 Ni2 Os1'
_cell_length_a 4.2228
_cell_length_b 4.2228
_cell_length_c 2.6008
_cell_angle_alpha 90.00
_cell_angle_beta 90.00
_cell_angle_gamma 90.00
_space_group_name_H-M_alt 'P 4/m m m'
_space_group_IT_number 123
_space_group_name_Hall '-P 4 2'
loop_
_atom_site_label
_atom_site_fract_x
_atom_site_fract_y
_atom_site_fract_z
Be1 0.0000 0.0000 0.0000
Ni1 0.0000 0.5000 0.5000
Os1 0.5000 0.5000 0.0000
# - Energy of formation from the pure elements: 2.43 kcal/mol of atoms

Entry 10:
# GGA-PBE LiLa2Cl, relaxed
data_LiLa2Cl
_chemical_formula_sum 'Li1 La2 Cl1'
_cell_length_a 3.4530
_cell_length_b 3.4530
_cell_length_c 9.0753
_cell_angle_alpha 90.00
_cell_angle_beta 90.00
_cell_angle_gamma 90.00
_space_group_name_H-M_alt 'P 4 m m'
_space_group_IT_number 99
loop_
_space_group_symop_operation_xyz
'x,y,z'
'-y,x,z'
'-x,-y,z'
'y,-x,z'
'-x,y,z'
'y,x,z'
'x,-y,z'
'-y,-x,z'
loop_
_atom_site_label
_atom_site_fract_x
_atom_site_fract_y
_atom_site_fract_z
Li1 0.0000 0.0000 0.0000
La1 0.0000 0.0000 0.3931
La2 0.5000 0.5000 0.7053
Cl1 0.5000 0.5000 0.1156
# - Relative energy among the computed polymorphs: 71 meV per atom
# - Formation energy (no corrections): -610 meV per atom

Entry 11:
# GGA-PBE Li2YMn, relaxed
data_Li2YMn
_chemical_formula_sum 'Li4 Y2 Mn2'
_cell_length_a 4.8627
_cell_length_b 4.8627
_cell_length_c 6.9495
_cell_angle_alpha 90.00
_cell_angle_beta 90.00
_cell_angle_gamma 90.00
_space_group_name_H-M_alt 'I -4 m 2'
_space_group_IT_number 119
_space_group_name_Hall 'I -4 -2'
loop_
_atom_site_label
_atom_site_fract_x
_atom_site_fract_y
_atom_site_fract_z
Li1 0.0000 0.0000 0.0000
Li2 0.0000 0.5000 0.2500
Y1 0.0000 0.0000 0.5000
Mn1 0.0000 0.5000 0.7500
# - Relative energy among the computed polymorphs: 104 meV per atom
# - Energy of formation from the pure elements: 7.08 kcal/mol of atoms

Entry 12:
# GGA-PBE LiBeSe2, relaxed
data_LiBeSe2
_chemical_formula_sum 'Li2 Be2 Se4'
_cell_length_a 11.9444
_cell_length_b 3.3449
_cell_length_c 4.1681
_cell_angle_alpha 90.00
_cell_angle_beta 99.24
_cell_angle_gamma 90.00
_space_group_name_H-M_alt 'C 1 m 1'
_space_group_IT_number 8
loop_
_space_group_symop_operation_xyz
'x,y,z'
'x,-y,z'
'x+1/2,y+1/2,z'
'x+1/2,-y+1/2,z'
loop_
_atom_site_label
_atom_site_fract_x
_atom_site_fract_y
_atom_site_fract_z
Li1 0.0000 0.0000 0.0000
Be1 0.2344 0.0000 0.4716
Se1 0.1042 0.5000 0.4817
Se2 0.3590 0.5000 0.4539
# - Formation energy (no corrections): -512 meV per atom

Number 1: total DFT energy (no corrections) -3.259 eV/atom. Number 2: total DFT energy (no corrections) -4.880 eV/atom. Number 3: total DFT energy (no corrections) -4.515 eV/atom. Number 4: total DFT energy (no corrections) -4.591 eV/atom. Number 5: total DFT energy (no corrections) -9.668 eV/atom. Number 6: total DFT energy (no corrections) -7.018 eV/atom. Number 7: total DFT energy (no corrections) -3.108 eV/atom. Number 8: total DFT energy (no corrections) -6.553 eV/atom. Number 9: total DFT energy (no corrections) -6.524 eV/atom. Number 10: total DFT energy (no corrections) -4.013 eV/atom. Number 11: total DFT energy (no corrections) -4.558 eV/atom. Number 12: total DFT energy (no corrections) -3.664 eV/atom.